Dy2ErBi2Te2 (PBE-GGA, optimized geometry); crystal system = tetragonal; density = 7.49 Mg/m³; formation energy from raw total energies = -3.662 eV/f.u.; space-group type = I4/mmm, No. 139
1.0
-1.020 5.734 -0.377
-5.740 -0.999 0.342
3.733 -1.808 7.577
Dy Er Bi Te
2 1 2 2
direct
0.386 0.386 0.771
0.614 0.614 0.229
0.000 0.000 0.000
0.000 0.500 0.000
0.500 0.000 0.000
0.197 0.197 0.394
0.803 0.803 0.606